(1)
Below is a geometry-optimized La2CdB structure, with properties calculated at the PBE level.

Output
The density of states at the Fermi level comes out at 4.382 states/eV per cell. The value obtained for the formation energy is 0.231 eV/atom. The energy relative to the lowest polymorph listed for this composition is 5.0 kJ/mol of atoms. The spin magnetization is 0.00 μB/f.u. The calculation puts the volume at 25.24 Å³ per atom. For the uncorrected energy, the calculation gives -4.131 eV per atom. The mass density comes out at 6.6 g/cm³.

a b c (Å): 5.226 5.226 5.226
angles (deg): 60.00 60.00 60.00
Fractional positions:
La 0.750 0.750 0.750
B 0.000 0.000 0.000
La 0.250 0.250 0.250
Cd 0.500 0.500 0.500

---

(2)
Below is a geometry-optimized BaHgOF2 structure, with properties calculated at the PBE level.

Output
The density of states at the Fermi level comes out at 6.247 states/eV per cell. The energy relative to the lowest polymorph listed for this composition is 44.8 kJ/mol of atoms. The spin magnetization is 0.00 μB/f.u. The calculation puts the volume at 25.02 Å³ per atom. For the uncorrected energy, the calculation gives -3.713 eV per atom. The mass density comes out at 5.2 g/cm³.

a b c (Å): 5.001 5.001 5.001
angles (deg): 90.00 90.00 90.00
Fractional positions:
Hg 0.500 0.500 0.500
Ba 0.000 0.000 0.000
F 0.500 0.000 0.000
O 0.000 0.000 0.500
F 0.000 0.500 0.000

---

(3)
Below is a geometry-optimized ZrW4Se8 structure, with properties calculated at the PBE level.

Output
The density of states at the Fermi level comes out at 8.497 states/eV per cell. The spin magnetization is 0.00 μB/f.u. The calculation puts the volume at 21.04 Å³ per atom. For the uncorrected energy, the calculation gives -6.959 eV per atom. The mass density comes out at 8.9 g/cm³.

a b c (Å): 6.987 6.985 7.627
angles (deg): 89.99 117.32 119.97
Fractional positions:
W 0.500 0.000 0.000
Se 0.500 0.750 0.250
Se 0.511 0.756 0.746
Se 0.990 0.235 0.746
W 0.000 0.500 0.000
Zr 0.000 0.500 0.500
Se 0.990 0.756 0.746
W 0.500 0.500 0.000
Se 0.010 0.244 0.254
Se 0.010 0.765 0.254
Se 0.489 0.244 0.254
W 0.000 0.000 0.000
Se 0.500 0.250 0.750